DFT (PBE-GGA) results for an optimized crystal structure of Tc2As3.

Properties
Fermi-level density of states: 7.01 states/eV/cell
formation enthalpy at 0 K: -283 meV per atom
space-group type: P-1
E_tot: -7.219 eV per atom

Unit cell a=6.6753 b=6.6873 c=8.0606 alpha=95.76 beta=101.63 gamma=104.49
Positions (direct):
Tc (0.0307, 0.3643, 0.3647)
Tc (0.1318, 0.0708, 0.8672)
Tc (0.4107, 0.6238, 0.6248)
Tc (0.4156, 0.9263, 0.1423)
Tc (0.5844, 0.0737, 0.8577)
Tc (0.5893, 0.3762, 0.3752)
Tc (0.8682, 0.9292, 0.1328)
Tc (0.9693, 0.6357, 0.6353)
As (0.0454, 0.7061, 0.9644)
As (0.1280, 0.3449, 0.6799)
As (0.2361, 0.0927, 0.3468)
As (0.2641, 0.9342, 0.6142)
As (0.3591, 0.6282, 0.3137)
As (0.4675, 0.3098, 0.0496)
As (0.5325, 0.6902, 0.9504)
As (0.6409, 0.3718, 0.6863)
As (0.7359, 0.0658, 0.3858)
As (0.7639, 0.9073, 0.6532)
As (0.8720, 0.6551, 0.3201)
As (0.9546, 0.2939, 0.0356)



DFT (PBE-GGA) results for an optimized crystal structure of ThNi3.

Properties
Fermi-level density of states: 7.60 states/eV/cell
formation enthalpy at 0 K: 174 meV per atom
space-group type: I4/mmm
E_tot: -6.017 eV per atom

Unit cell a=3.7585 b=3.7585 c=9.8780 alpha=90.00 beta=90.00 gamma=90.00
Positions (direct):
Th (0.0000, 0.0000, 0.0000)
Th (0.5000, 0.5000, 0.5000)
Ni (0.0000, 0.0000, 0.2645)
Ni (0.0000, 0.0000, 0.5000)
Ni (0.0000, 0.0000, 0.7355)
Ni (0.5000, 0.5000, 0.0000)
Ni (0.5000, 0.5000, 0.2355)
Ni (0.5000, 0.5000, 0.7645)



DFT (PBE-GGA) results for an optimized crystal structure of PuCrSiTc.

Properties
formation energy without anion corrections: -0.45 eV/f.u.
Fermi-level density of states: 28.77 states/eV/cell
space-group type: F-43m
E_tot: -10.048 eV per atom

Unit cell a=6.2814 b=6.2814 c=6.2814 alpha=90.00 beta=90.00 gamma=90.00
Positions (direct):
Pu (0.0000, 0.0000, 0.0000)
Pu (0.0000, 0.5000, 0.5000)
Pu (0.5000, 0.0000, 0.5000)
Pu (0.5000, 0.5000, 0.0000)
Cr (0.2500, 0.2500, 0.7500)
Cr (0.2500, 0.7500, 0.2500)
Cr (0.7500, 0.2500, 0.2500)
Cr (0.7500, 0.7500, 0.7500)
Si (0.0000, 0.0000, 0.5000)
Si (0.0000, 0.5000, 0.0000)
Si (0.5000, 0.0000, 0.0000)
Si (0.5000, 0.5000, 0.5000)
Tc (0.2500, 0.2500, 0.2500)
Tc (0.2500, 0.7500, 0.7500)
Tc (0.7500, 0.2500, 0.7500)
Tc (0.7500, 0.7500, 0.2500)



DFT (PBE-GGA) results for an optimized crystal structure of Sm11Zn4In9.

Properties
Fermi-level density of states: 20.95 states/eV/cell
formation enthalpy at 0 K: -443 meV per atom
space-group type: Cmmm
E_tot: -3.845 eV per atom

Unit cell a=13.4252 b=13.4252 c=3.8007 alpha=90.00 beta=90.00 gamma=112.64
Positions (direct):
Sm (0.0000, 0.0000, 0.0000)
Sm (0.0653, 0.4123, 0.0000)
Sm (0.1617, 0.8383, 0.0000)
Sm (0.3007, 0.3007, 0.0000)
Sm (0.3677, 0.6323, 0.0000)
Sm (0.4123, 0.0653, 0.0000)
Sm (0.5877, 0.9347, 0.0000)
Sm (0.6323, 0.3677, 0.0000)
Sm (0.6993, 0.6993, 0.0000)
Sm (0.8383, 0.1617, 0.0000)
Sm (0.9347, 0.5877, 0.0000)
Zn (0.2509, 0.4500, 0.5000)
Zn (0.4500, 0.2509, 0.5000)
Zn (0.5500, 0.7491, 0.5000)
Zn (0.7491, 0.5500, 0.5000)
In (0.0715, 0.2166, 0.5000)
In (0.1583, 0.6314, 0.5000)
In (0.2166, 0.0715, 0.5000)
In (0.3686, 0.8417, 0.5000)
In (0.5000, 0.5000, 0.5000)
In (0.6314, 0.1583, 0.5000)
In (0.7834, 0.9285, 0.5000)
In (0.8417, 0.3686, 0.5000)
In (0.9285, 0.7834, 0.5000)



DFT (PBE-GGA) results for an optimized crystal structure of Tb6Sm2HoMg.

Properties
Fermi-level density of states: 30.52 states/eV/cell
formation enthalpy at 0 K: 104 meV per atom
space-group type: C2/c
E_tot: -4.235 eV per atom

Unit cell a=10.9996 b=10.9996 c=6.6160 alpha=94.08 beta=94.08 gamma=126.39
Positions (direct):
Tb (0.0842, 0.5621, 0.2782)
Tb (0.0877, 0.7944, 0.9711)
Tb (0.2056, 0.9123, 0.5289)
Tb (0.2984, 0.4689, 0.0183)
Tb (0.4379, 0.9158, 0.2218)
Tb (0.4689, 0.2984, 0.5183)
Tb (0.5311, 0.7016, 0.4817)
Tb (0.5621, 0.0842, 0.7782)
Tb (0.7016, 0.5311, 0.9817)
Tb (0.7944, 0.0877, 0.4711)
Tb (0.9123, 0.2056, 0.0289)
Tb (0.9158, 0.4379, 0.7218)
Sm (0.1824, 0.3478, 0.5037)
Sm (0.3478, 0.1824, 0.0037)
Sm (0.6522, 0.8176, 0.9963)
Sm (0.8176, 0.6522, 0.4963)
Ho (0.0069, 0.9931, 0.2500)
Ho (0.9931, 0.0069, 0.7500)
Mg (0.2941, 0.7059, 0.7500)
Mg (0.7059, 0.2941, 0.2500)



DFT (PBE-GGA) results for an optimized crystal structure of CsTeAs3.

Properties
formation energy without anion corrections: 8.88 eV/f.u.
Fermi-level density of states: 5.63 states/eV/cell
space-group type: Pm-3m
E_tot: -1.812 eV per atom

Unit cell a=5.6772 b=5.6772 c=5.6772 alpha=90.00 beta=90.00 gamma=90.00
Positions (direct):
Cs (0.0000, 0.0000, 0.0000)
Te (0.5000, 0.5000, 0.5000)
As (0.0000, 0.0000, 0.5000)
As (0.0000, 0.5000, 0.0000)
As (0.5000, 0.0000, 0.0000)



DFT (PBE-GGA) results for an optimized crystal structure of SbSeN2O.

Properties
formation energy without anion corrections: 8.64 eV/f.u.
Fermi-level density of states: 6.85 states/eV/cell
space-group type: P4/mmm
E_tot: -4.115 eV per atom

Unit cell a=3.8412 b=3.8412 c=6.1029 alpha=90.00 beta=90.00 gamma=90.00
Positions (direct):
Sb (0.0000, 0.0000, 0.0000)
Se (0.0000, 0.0000, 0.5000)
N (0.0000, 0.5000, 0.0000)
N (0.5000, 0.0000, 0.0000)
O (0.5000, 0.5000, 0.5000)



DFT (PBE-GGA) results for an optimized crystal structure of Tl3Bi5Au12.

Properties
Fermi-level density of states: 49.17 states/eV/cell
formation enthalpy at 0 K: 163 meV per atom
space-group type: Ia-3d
E_tot: -3.129 eV per atom

Unit cell a=14.3616 b=14.3616 c=14.3616 alpha=109.47 beta=109.47 gamma=109.47
Positions (direct):
Tl (0.1250, 0.2500, 0.3750)
Tl (0.1250, 0.3750, 0.7500)
Tl (0.2500, 0.3750, 0.1250)
Tl (0.2500, 0.8750, 0.6250)
Tl (0.3750, 0.1250, 0.2500)
Tl (0.3750, 0.7500, 0.1250)
Tl (0.6250, 0.2500, 0.8750)
Tl (0.6250, 0.8750, 0.7500)
Tl (0.7500, 0.1250, 0.3750)
Tl (0.7500, 0.6250, 0.8750)
Tl (0.8750, 0.6250, 0.2500)
Tl (0.8750, 0.7500, 0.6250)
Bi (0.0000, 0.0000, 0.0000)
Bi (0.0000, 0.0000, 0.5000)
Bi (0.0000, 0.5000, 0.0000)
Bi (0.0000, 0.5000, 0.5000)
Bi (0.1250, 0.7500, 0.8750)
Bi (0.1250, 0.8750, 0.2500)
Bi (0.2500, 0.1250, 0.8750)
Bi (0.2500, 0.6250, 0.3750)
Bi (0.3750, 0.2500, 0.6250)
Bi (0.3750, 0.6250, 0.7500)
Bi (0.5000, 0.0000, 0.0000)
Bi (0.5000, 0.0000, 0.5000)
Bi (0.5000, 0.5000, 0.0000)
Bi (0.5000, 0.5000, 0.5000)
Bi (0.6250, 0.3750, 0.2500)
Bi (0.6250, 0.7500, 0.3750)
Bi (0.7500, 0.3750, 0.6250)
Bi (0.7500, 0.8750, 0.1250)
Bi (0.8750, 0.1250, 0.7500)
Bi (0.8750, 0.2500, 0.1250)
Au (0.0696, 0.2317, 0.1488)
Au (0.0696, 0.3380, 0.9208)
Au (0.0792, 0.6488, 0.4172)
Au (0.0792, 0.9304, 0.6620)
Au (0.0828, 0.7317, 0.6620)
Au (0.0828, 0.8512, 0.4208)
Au (0.1488, 0.0696, 0.2317)
Au (0.1488, 0.5792, 0.9172)
Au (0.1620, 0.2317, 0.5828)
Au (0.1620, 0.4304, 0.5792)
Au (0.2317, 0.1488, 0.0696)
Au (0.2317, 0.5828, 0.1620)
Au (0.2683, 0.3380, 0.9172)
Au (0.2683, 0.4304, 0.3512)
Au (0.3380, 0.9172, 0.2683)
Au (0.3380, 0.9208, 0.0696)
Au (0.3512, 0.2683, 0.4304)
Au (0.3512, 0.5828, 0.9208)
Au (0.4172, 0.0792, 0.6488)
Au (0.4172, 0.8380, 0.7683)
Au (0.4208, 0.0828, 0.8512)
Au (0.4208, 0.8380, 0.5696)
Au (0.4304, 0.3512, 0.2683)
Au (0.4304, 0.5792, 0.1620)
Au (0.5696, 0.4208, 0.8380)
Au (0.5696, 0.6488, 0.7317)
Au (0.5792, 0.1620, 0.4304)
Au (0.5792, 0.9172, 0.1488)
Au (0.5828, 0.1620, 0.2317)
Au (0.5828, 0.9208, 0.3512)
Au (0.6488, 0.4172, 0.0792)
Au (0.6488, 0.7317, 0.5696)
Au (0.6620, 0.0792, 0.9304)
Au (0.6620, 0.0828, 0.7317)
Au (0.7317, 0.5696, 0.6488)
Au (0.7317, 0.6620, 0.0828)
Au (0.7683, 0.4172, 0.8380)
Au (0.7683, 0.8512, 0.9304)
Au (0.8380, 0.5696, 0.4208)
Au (0.8380, 0.7683, 0.4172)
Au (0.8512, 0.4208, 0.0828)
Au (0.8512, 0.9304, 0.7683)
Au (0.9172, 0.1488, 0.5792)
Au (0.9172, 0.2683, 0.3380)
Au (0.9208, 0.0696, 0.3380)
Au (0.9208, 0.3512, 0.5828)
Au (0.9304, 0.6620, 0.0792)
Au (0.9304, 0.7683, 0.8512)



Q: Fermi-level density of states of number 7 (SbSeN2O)?
A: 6.85 states/eV/cell